Computed, not measured: a geometry-optimized LaZrRe structure at the PBE-GGA level of DFT.

Cell: 4.7253 4.7253 3.4111 Å, 90.00 90.00 120.00°
With the nearest neighbours (Å) after each atom.
Atoms (fractional coordinates):
La1 0.0000 0.0000 0.0219  3 Re 2.95, 3 Zr 3.04
Re1 0.6667 0.3333 0.3522  3 Zr 2.88, 3 La 2.95
Zr1 0.3333 0.6667 0.6259  3 Re 2.88, 3 La 3.04

Output
Uncorrected energy, eV per atom: -8.361
SG: No. 156
Crystal system: trigonal
Distance to the lowest polymorph of the same formula, kJ/mol of atoms: 17.3
M_tot, μB/f.u.: 0.00
Formation enthalpy at 0 K, eV per atom: 0.280

---

Computed, not measured: a geometry-optimized Na5Mg2Hg4 structure at the PBE-GGA level of DFT.

Cell: 3.4721 8.3064 10.0223 Å, 95.98 90.00 90.00°
With the nearest neighbours (Å) after each atom.
Atoms (fractional coordinates):
Hg1 0.5000 0.2145 0.4220  4 Mg 3.03-3.06, 4 Na 3.26-3.39
Mg1 0.0000 0.0886 0.6367  6 Hg 2.94-3.06, 1 Mg 2.97, 2 Na 3.19-3.22
Hg2 0.5000 0.7855 0.5780  4 Mg 3.03-3.06, 4 Na 3.26-3.39
Na1 0.0000 0.8540 0.8689  1 Mg 3.19, 6 Hg 3.30-3.44, 4 Na 3.34-3.47
Hg3 0.5000 0.2108 0.8621  2 Mg 2.94, 4 Na 3.16-3.30
Na2 0.0000 0.5000 0.0000  4 Hg 3.16, 6 Na 3.34-3.47
Na3 0.0000 0.4776 0.6575  5 Na 3.22-3.59, 1 Mg 3.22, 4 Hg 3.26-3.51
Na4 0.0000 0.5224 0.3425  5 Na 3.22-3.59, 1 Mg 3.22, 4 Hg 3.26-3.51
Na5 0.0000 0.1460 0.1311  1 Mg 3.19, 6 Hg 3.30-3.44, 4 Na 3.34-3.47
Mg2 0.0000 0.9114 0.3633  6 Hg 2.94-3.06, 1 Mg 2.97, 2 Na 3.19-3.22
Hg4 0.5000 0.7892 0.1379  2 Mg 2.94, 4 Na 3.16-3.30

Output
Uncorrected energy, eV per atom: -1.169
SG: No. 10
Crystal system: monoclinic
M_tot, μB/f.u.: 0.00
Formation enthalpy at 0 K, eV per atom: -0.170

---

Computed, not measured: a geometry-optimized Lu2AgHg structure at the PBE-GGA level of DFT.

Cell: 3.5992 5.1063 5.1063 Å, 90.00 90.00 90.00°
With the nearest neighbours (Å) after each atom.
Atoms (fractional coordinates):
Hg1 0.5000 0.5000 0.5000  8 Lu 3.12
Lu1 0.0000 0.0000 0.5000  4 Hg 3.12, 4 Ag 3.12
Ag1 0.5000 0.0000 0.0000  8 Lu 3.12
Lu2 0.0000 0.5000 0.0000  4 Hg 3.12, 4 Ag 3.12

Output
Uncorrected energy, eV per atom: -3.460
SG: No. 123
Crystal system: tetragonal
Distance to the lowest polymorph of the same formula, kJ/mol of atoms: 0.0
M_tot, μB/f.u.: 0.00
Formation enthalpy at 0 K, eV per atom: -0.411

---

Computed, not measured: a geometry-optimized Rb2GaGe2 structure at the PBE-GGA level of DFT.

Cell: 3.7847 3.7847 12.0949 Å, 81.00 81.00 90.00°
With the nearest neighbours (Å) after each atom.
Atoms (fractional coordinates):
Rb1 0.6135 0.6135 0.7730  4 Ge 3.73, 4 Rb 3.78, 4 Ga 3.79
Rb2 0.3865 0.3865 0.2270  4 Ge 3.73, 4 Rb 3.78, 4 Ga 3.79
Ge1 0.7500 0.2500 0.5000  4 Ge 2.68
Ga1 0.0000 0.0000 0.0000  4 Ga 3.78, 8 Rb 3.79
Ge2 0.2500 0.7500 0.5000  4 Ge 2.68

Output
Uncorrected energy, eV per atom: -2.614
SG: No. 139
Crystal system: tetragonal
Distance to the lowest polymorph of the same formula, kJ/mol of atoms: 23.9
M_tot, μB/f.u.: 0.00
Formation enthalpy at 0 K, eV per atom: 0.225

---

Computed, not measured: a geometry-optimized Li2FeSe structure at the PBE-GGA level of DFT.

Cell: 4.6123 4.6123 4.6123 Å, 132.43 132.43 69.55°
With the nearest neighbours (Å) after each atom.
Atoms (fractional coordinates):
Fe1 0.7500 0.2500 0.5000  8 Li 2.63-2.65, 4 Se 2.65
Se1 0.5000 0.5000 0.0000  8 Li 2.63-2.65, 4 Fe 2.65
Li1 0.2500 0.7500 0.5000  4 Fe 2.63, 4 Li 2.65, 4 Se 2.65
Li2 0.0000 0.0000 0.0000  4 Se 2.63, 4 Fe 2.65, 4 Li 2.65

Output
Uncorrected energy, eV per atom: -4.194
Formation energy (no corrections), eV per atom: -0.25
SG: No. 119
Crystal system: tetragonal
M_tot, μB/f.u.: 2.04

---

Computed, not measured: a geometry-optimized ReMo2Ru structure at the PBE-GGA level of DFT.

Cell: 5.1694 5.1694 5.1694 Å, 144.64 129.25 63.36°
With the nearest neighbours (Å) after each atom.
Atoms (fractional coordinates):
Mo1 0.0118 0.0118 0.0000  2 Mo 2.61, 4 Re 2.72, 2 Ru 2.76
Ru1 0.7533 0.2533 0.5000  6 Mo 2.72-2.76, 4 Re 2.82-3.02
Re1 0.4866 0.4866 0.0000  6 Mo 2.62-2.72, 2 Ru 2.82
Mo2 0.2482 0.7482 0.5000  2 Mo 2.61, 2 Re 2.62, 4 Ru 2.72

Output
Uncorrected energy, eV per atom: -10.680
SG: No. 44
Crystal system: orthorhombic
Distance to the lowest polymorph of the same formula, kJ/mol of atoms: 5.3
M_tot, μB/f.u.: 0.00
Formation enthalpy at 0 K, eV per atom: 0.167

---

Computed, not measured: a geometry-optimized HoCdNiIr structure at the PBE-GGA level of DFT.

Cell: 4.6582 4.6582 4.6582 Å, 60.00 60.00 60.00°
With the nearest neighbours (Å) after each atom.
Atoms (fractional coordinates):
Ir1 0.5000 0.5000 0.5000  4 Cd 2.85, 4 Ho 2.85
Cd1 0.7500 0.7500 0.7500  4 Ir 2.85, 4 Ni 2.85
Ni1 0.0000 0.0000 0.0000  4 Ho 2.85, 4 Cd 2.85
Ho1 0.2500 0.2500 0.2500  4 Ni 2.85, 4 Ir 2.85

Output
Uncorrected energy, eV per atom: -5.343
SG: No. 216
Crystal system: cubic
M_tot, μB/f.u.: 0.00
Formation enthalpy at 0 K, eV per atom: -0.309

---

Computed, not measured: a geometry-optimized Ca3AsCl structure at the PBE-GGA level of DFT.

Cell: 5.6726 5.6726 5.6726 Å, 90.00 90.00 90.00°
With the nearest neighbours (Å) after each atom.
Atoms (fractional coordinates):
Ca1 0.0000 0.5000 0.0000  2 As 2.84
As1 0.0000 0.0000 0.0000  6 Ca 2.84
Cl1 0.5000 0.5000 0.5000  12 Ca 4.01
Ca2 0.0000 0.0000 0.5000  2 As 2.84
Ca3 0.5000 0.0000 0.0000  2 As 2.84

Output
Uncorrected energy, eV per atom: -3.298
Formation energy (no corrections), eV per atom: -0.80
SG: No. 221
Crystal system: cubic
Distance to the lowest polymorph of the same formula, kJ/mol of atoms: 0.0
M_tot, μB/f.u.: 0.00

---

Computed, not measured: a geometry-optimized Sm2Dy2Bi3 structure at the PBE-GGA level of DFT.

Cell: 4.5139 7.5442 7.5387 Å, 98.80 90.02 107.45°
With the nearest neighbours (Å) after each atom.
Atoms (fractional coordinates):
Bi1 0.2609 0.5212 0.7455  3 Dy 3.11-3.13, 3 Sm 3.19-3.20
Bi2 0.0000 0.0000 0.0000  2 Dy 3.12, 4 Sm 3.16
Dy1 0.8825 0.7643 0.6141  4 Bi 3.11-3.13
Bi3 0.7391 0.4788 0.2545  3 Dy 3.11-3.13, 3 Sm 3.19-3.20
Dy2 0.1175 0.2357 0.3859  4 Bi 3.11-3.13
Sm1 0.3768 0.7536 0.1430  5 Bi 3.16-3.20
Sm2 0.6232 0.2464 0.8570  5 Bi 3.16-3.20

Output
Uncorrected energy, eV per atom: -4.943
SG: No. 12
Crystal system: monoclinic
M_tot, μB/f.u.: 0.00
Formation enthalpy at 0 K, eV per atom: -0.616

---

Computed, not measured: a geometry-optimized TbThUO6 structure at the PBE-GGA level of DFT.

Cell: 5.8328 5.8328 9.7059 Å, 90.00 90.00 120.00°
With the nearest neighbours (Å) after each atom.
Atoms (fractional coordinates):
O1 0.9825 0.6516 0.3665  1 U 2.17, 1 Tb 2.30, 1 Th 2.37
O2 0.3484 0.3309 0.3665  1 U 2.17, 1 Tb 2.30, 1 Th 2.37
O3 0.9825 0.3309 0.1335  1 U 2.17, 1 Tb 2.30, 1 Th 2.37
O4 0.6516 0.9825 0.8665  1 U 2.17, 1 Tb 2.30, 1 Th 2.37
O5 0.6516 0.6691 0.6335  1 U 2.17, 1 Tb 2.30, 1 Th 2.37
Th1 0.0000 0.0000 0.5000  6 O 2.37
U1 0.6667 0.3333 0.2500  6 O 2.17
O6 0.0175 0.6691 0.8665  1 U 2.17, 1 Tb 2.30, 1 Th 2.37
O7 0.0175 0.3484 0.6335  1 U 2.17, 1 Tb 2.30, 1 Th 2.37
O8 0.3484 0.0175 0.1335  1 U 2.17, 1 Tb 2.30, 1 Th 2.37
O9 0.6691 0.0175 0.3665  1 U 2.17, 1 Tb 2.30, 1 Th 2.37
U2 0.3333 0.6667 0.7500  6 O 2.17
Th2 0.0000 0.0000 0.0000  6 O 2.37
O10 0.3309 0.9825 0.6335  1 U 2.17, 1 Tb 2.30, 1 Th 2.37
Tb1 0.3333 0.6667 0.2500  6 O 2.30
O11 0.6691 0.6516 0.1335  1 U 2.17, 1 Tb 2.30, 1 Th 2.37
O12 0.3309 0.3484 0.8665  1 U 2.17, 1 Tb 2.30, 1 Th 2.37
Tb2 0.6667 0.3333 0.7500  6 O 2.30

Output
Uncorrected energy, eV per atom: -9.355
Formation energy (no corrections), eV per atom: -3.46
SG: No. 163
Crystal system: trigonal
M_tot, μB/f.u.: 1.00

---

Computed, not measured: a geometry-optimized NaTb2Hg4 structure at the PBE-GGA level of DFT.

Cell: 5.0957 5.0957 8.8611 Å, 73.29 73.29 60.00°
With the nearest neighbours (Å) after each atom.
Atoms (fractional coordinates):
Hg1 0.3764 0.3764 0.8709  4 Tb 3.12-3.19, 3 Na 3.13
Na1 0.0000 0.0000 0.0000  8 Hg 3.13-3.18
Hg2 0.6236 0.6236 0.1291  4 Tb 3.12-3.19, 3 Na 3.13
Hg3 0.8730 0.8730 0.3809  4 Tb 3.07-3.13, 1 Na 3.18
Tb1 0.7507 0.7507 0.7478  8 Hg 3.07-3.19
Hg4 0.1270 0.1270 0.6191  4 Tb 3.07-3.13, 1 Na 3.18
Tb2 0.2493 0.2493 0.2522  8 Hg 3.07-3.19

Output
Uncorrected energy, eV per atom: -1.929
SG: No. 166
Crystal system: trigonal
M_tot, μB/f.u.: 0.00
Formation enthalpy at 0 K, eV per atom: -0.245

---

Computed, not measured: a geometry-optimized PmHo4Tl5 structure at the PBE-GGA level of DFT.

Cell: 3.7634 3.7634 19.3907 Å, 90.00 90.00 90.00°
With the nearest neighbours (Å) after each atom.
Atoms (fractional coordinates):
Ho1 0.0000 0.0000 0.5984  8 Tl 3.27
Tl1 0.5000 0.5000 0.8936  4 Ho 3.27, 4 Pm 3.37
Tl2 0.5000 0.5000 0.3035  8 Ho 3.27-3.28
Ho2 0.0000 0.0000 0.7953  8 Tl 3.27-3.28
Ho3 0.0000 0.0000 0.4016  8 Tl 3.27
Ho4 0.0000 0.0000 0.2047  8 Tl 3.27-3.28
Tl3 0.5000 0.5000 0.5000  8 Ho 3.27
Tl4 0.5000 0.5000 0.6965  8 Ho 3.27-3.28
Tl5 0.5000 0.5000 0.1064  4 Ho 3.27, 4 Pm 3.37
Pm1 0.0000 0.0000 0.0000  8 Tl 3.37, 4 Pm 3.76

Output
Uncorrected energy, eV per atom: -3.829
SG: No. 123
Crystal system: tetragonal
M_tot, μB/f.u.: 0.00
Formation enthalpy at 0 K, eV per atom: -0.340

---

Computed, not measured: a geometry-optimized NbNiTeI2 structure at the PBE-GGA level of DFT.

Cell: 5.1214 5.1214 5.1861 Å, 90.00 90.00 90.00°
With the nearest neighbours (Å) after each atom.
Atoms (fractional coordinates):
Te1 0.0000 0.0000 0.5000  2 Ni 2.59
I1 0.5000 0.0000 0.0000  2 Ni 2.56
I2 0.0000 0.5000 0.0000  2 Ni 2.56
Ni1 0.0000 0.0000 0.0000  4 I 2.56, 2 Te 2.59
Nb1 0.5000 0.5000 0.5000  4 Te 3.62, 8 I 3.64

Output
Uncorrected energy, eV per atom: -3.690
Formation energy (no corrections), eV per atom: 0.73
SG: No. 123
Crystal system: tetragonal
Distance to the lowest polymorph of the same formula, kJ/mol of atoms: 0.0
M_tot, μB/f.u.: 2.57